P2SeCl | SCAN | single point on PBEsol structure

Summary:
DFT total energy: -12.013 eV per atom
Fermi-level density of states: 5.9 states/eV per cell
Crystal system: trigonal
Formation energy (no corrections): 0.200 eV per atom
Mass density: 4.02 Mg/m³
Energy above the lowest structure with this stoichiometry: 0 meV/atom

Structure (CIF):
```
data_P2SeCl
_cell_length_a 3.4384
_cell_length_b 3.4384
_cell_length_c 21.3363
_cell_angle_alpha 90.00
_cell_angle_beta 90.00
_cell_angle_gamma 120.00
_space_group_name_H-M_alt 'R 3 m'
_space_group_IT_number 160
_space_group_name_Hall 'R 3 -2"'
loop_
_atom_site_label
_atom_site_type_symbol
_atom_site_fract_x
_atom_site_fract_y
_atom_site_fract_z
P1 P 0.0000 0.0000 0.0000
P2 P 0.0000 0.0000 0.2775
Se1 Se 0.0000 0.0000 0.7409
Cl1 Cl 0.0000 0.0000 0.5273
```